1.
# Ba2AcPb

A relaxed structure of Ba2AcPb (PBE, Alexandria via LeMat-Bulk).

POSCAR file:
```
Ba2AcPb
1.0
4.078 0.000 0.000
-2.039 3.531 0.000
0.000 0.000 41.550
Ba Ac Pb
6 3 3
Cartesian
0.000 0.000 3.538
0.000 0.000 38.012
0.000 2.354 24.162
0.000 2.354 31.238
2.039 1.177 10.312
2.039 1.177 17.388
0.000 0.000 20.775
0.000 2.354 6.925
2.039 1.177 34.625
0.000 0.000 0.000
0.000 2.354 27.700
2.039 1.177 13.850
```

- Calculated formation energy: 0.63 eV per formula unit
- Density of states at the Fermi level: 14.880 states/eV per cell
- ΔE to the lowest computed polymorph: 377 meV/atom
- Raw total energy: -2.76 eV per atom

2.
# Ba2AcPb6

A relaxed structure of Ba2AcPb6 (PBE, Alexandria via LeMat-Bulk).

POSCAR file:
```
Ba2AcPb6
1.0
8.697 -3.510 0.000
8.697 3.510 0.000
-0.932 0.000 5.674
Ba Ac Pb
2 1 6
Cartesian
3.185 0.000 0.835
13.277 0.000 4.839
8.697 0.000 0.000
6.700 1.799 2.280
4.805 0.000 4.023
9.762 1.799 3.394
6.700 -1.799 2.280
11.657 0.000 1.651
9.762 -1.799 3.394
```

- Calculated formation energy: -3.24 eV per formula unit
- Density of states at the Fermi level: 4.286 states/eV per cell
- Raw total energy: -3.72 eV per atom

3.
# BaAc12Pb6

A relaxed structure of BaAc12Pb6 (PBE, Alexandria via LeMat-Bulk).

POSCAR file:
```
BaAc12Pb6
1.0
7.718 4.456 4.196
-7.718 4.456 4.196
0.000 -8.912 4.196
Ba Ac Pb
1 12 6
Cartesian
0.000 0.000 0.000
-2.892 -5.009 6.294
-5.784 0.000 6.294
-2.108 -1.217 4.516
2.108 -1.217 4.516
0.000 2.435 4.516
2.892 -5.009 6.294
-2.892 5.009 6.294
0.000 -2.435 8.071
-2.108 1.217 8.071
2.108 1.217 8.071
5.784 0.000 6.294
2.892 5.009 6.294
0.000 -4.031 4.944
-3.491 2.015 4.944
-3.491 -2.015 7.643
3.491 2.015 4.944
3.491 -2.015 7.643
0.000 4.031 7.643
```

- Calculated formation energy: -4.76 eV per formula unit
- Density of states at the Fermi level: 27.264 states/eV per cell
- Raw total energy: -4.12 eV per atom

4.
# Ba3Ac4Pb4

A relaxed structure of Ba3Ac4Pb4 (PBE, Alexandria via LeMat-Bulk).

POSCAR file:
```
Ba3Ac4Pb4
1.0
-5.159 5.159 5.159
5.159 -5.159 5.159
5.159 5.159 -5.159
Ba Ac Pb
3 4 4
Cartesian
5.159 0.000 0.000
0.000 5.159 0.000
0.000 0.000 5.159
3.745 3.745 -3.745
3.745 -3.745 3.745
1.414 1.414 1.414
-3.745 3.745 3.745
1.895 1.895 -1.895
1.895 -1.895 1.895
-1.895 1.895 1.895
3.264 3.264 3.264
```

- Calculated formation energy: -3.04 eV per formula unit
- Density of states at the Fermi level: 9.760 states/eV per cell
- Raw total energy: -3.64 eV per atom

5.
# Ba2Ac3Pb2

A relaxed structure of Ba2Ac3Pb2 (PBE, Alexandria via LeMat-Bulk).

POSCAR file:
```
Ba2Ac3Pb2
1.0
13.952 0.000 0.000
0.000 4.996 0.000
-3.598 0.000 9.068
Ba Ac Pb
4 6 4
Cartesian
0.991 0.000 2.722
2.387 2.498 6.347
7.967 2.498 2.722
9.364 0.000 6.347
-1.799 2.498 4.534
-1.543 2.498 8.530
4.921 0.000 0.539
5.177 0.000 4.534
5.433 0.000 8.530
11.897 2.498 0.539
-0.307 0.000 6.433
3.686 2.498 2.635
6.669 2.498 6.433
10.662 0.000 2.635
```

- Calculated formation energy: -2.17 eV per formula unit
- Density of states at the Fermi level: 16.621 states/eV per cell
- Raw total energy: -3.68 eV per atom

6.
# BaAc12Pb7

A relaxed structure of BaAc12Pb7 (PBE, Alexandria via LeMat-Bulk).

POSCAR file:
```
BaAc12Pb7
1.0
8.600 4.965 3.227
-8.600 4.965 3.227
0.000 -9.930 3.227
Ba Ac Pb
1 12 7
Cartesian
0.000 0.000 0.000
-2.326 -5.901 3.227
-6.274 0.936 3.227
-2.753 -1.589 3.651
2.326 -5.901 3.227
-3.947 4.965 3.227
2.753 -1.589 3.651
0.000 3.179 3.651
0.000 -3.179 6.031
-2.753 1.589 6.031
6.274 0.936 3.227
3.947 4.965 3.227
2.753 1.589 6.031
0.000 -3.240 2.387
-2.806 1.620 2.387
2.806 1.620 2.387
0.000 0.000 4.841
-2.806 -1.620 7.294
2.806 -1.620 7.294
0.000 3.240 7.294
```

- Calculated formation energy: -6.52 eV per formula unit
- Density of states at the Fermi level: 23.552 states/eV per cell
- Raw total energy: -4.19 eV per atom